Entry 1:
Density functional theory data (PBE) for an optimized crystal structure of KPrSnTe3.

Its calculated volume is 963.1 Å³/cell. The value obtained for the density is 4700 kg/m³. The calculation puts the total magnetization at 0.0 μB/f.u. The final energy is -97.97 eV per cell. Its crystal system is orthorhombic.

The structure belongs to space group Cmcm (No. 63); the cell edges are 4.876, 15.877 and 12.441 Å and the angles 90.00°, 90.00° and 90.00°. The asymmetric unit holds K at (0.000, 0.245, 0.250), Pr at (0.000, 0.000, 0.000), Sn at (0.000, 0.468, 0.750), Te at (0.000, 0.081, 0.750) and Te at (0.000, 0.366, 0.543).



Entry 2:
Density functional theory data (PBE) for an optimized crystal structure of SrPrCuTe2Se.

Its calculated volume is 700.0 Å³/cell. The value obtained for the density is 5942 kg/m³. The calculation puts the total magnetization at 0.0 μB/f.u. The final energy is -111.30 eV per cell. Its crystal system is orthorhombic.

The structure belongs to space group Cmcm (No. 63); the cell edges are 4.349, 14.461 and 11.130 Å and the angles 90.00°, 90.00° and 90.00°. The asymmetric unit holds Sr at (0.000, 0.231, 0.250), Pr at (0.000, 0.500, 0.000), Cu at (0.000, 0.027, 0.750), Te at (0.000, 0.149, 0.571) and Se at (0.000, 0.427, 0.750).



Entry 3:
Density functional theory data (PBE) for an optimized crystal structure of HoInNi4.

Its calculated volume is 346.3 Å³/cell. The value obtained for the density is 9868 kg/m³. The calculation puts the total magnetization at 0.0 μB/f.u. The final energy is -128.08 eV per cell. Its crystal system is cubic.

The structure belongs to space group F-43m (No. 216); the cell edges are 7.023, 7.023 and 7.023 Å and the angles 90.00°, 90.00° and 90.00°. The asymmetric unit holds Ho at (0.000, 0.000, 0.000), In at (0.250, 0.250, 0.250) and Ni at (0.124, 0.124, 0.624).